VASP calculation (SCAN) on a PBEsol-optimized structure of TiZnGe3.

a b c (Å): 4.6873 4.6873 4.6873
angles (deg): 90.00 90.00 90.00
Sites, in units of the cell vectors:
Ge1 0.0000 0.5000 0.0000
Ge2 0.5000 0.0000 0.0000
Ge3 0.0000 0.0000 0.5000
Ti1 0.5000 0.5000 0.5000
Zn1 0.0000 0.0000 0.0000

Properties
DOS at the Fermi energy   3.88 states/eV/f.u.
Calculated total energy   -83.14 eV for the cell shown
DFT formation energy   0.73 eV per atom
Symmetry   Pm-3m